[1]
! AcPr2Ni2Ge2, relaxed, DFT GGA-PBE; values from VASP
&SYSTEM
  ibrav = 0, nat = 7, ntyp = 4
/
ATOMIC_SPECIES
Ac 227.00 Ac.upf
Pr 140.91 Pr.upf
Ni 58.69 Ni.upf
Ge 72.64 Ge.upf
CELL_PARAMETERS angstrom
2.174 1.255 10.341
-2.174 1.255 10.341
0.000 -2.510 10.341
ATOMIC_POSITIONS angstrom
Ac 0.000 0.000 0.000
Pr 0.000 0.000 3.822
Pr 0.000 0.000 27.201
Ni 0.000 0.000 12.444
Ni 0.000 0.000 18.580
Ge 0.000 0.000 8.121
Ge 0.000 0.000 22.902
! **DFT formation energy**: -0.569 eV per atom
! **Size of the total moment**: 0.01 μB/cell

---

[2]
! AcNiGe2Pt5, relaxed, DFT GGA-PBE; values from VASP
&SYSTEM
  ibrav = 0, nat = 9, ntyp = 4
/
ATOMIC_SPECIES
Ac 227.00 Ac.upf
Ni 58.69 Ni.upf
Ge 72.64 Ge.upf
Pt 195.08 Pt.upf
CELL_PARAMETERS angstrom
4.198 0.000 0.000
0.000 4.198 0.000
0.000 0.000 10.375
ATOMIC_POSITIONS angstrom
Ac 0.000 0.000 0.000
Ni 0.000 0.000 5.187
Ge 2.099 2.099 2.442
Ge 2.099 2.099 7.932
Pt 0.000 2.099 3.726
Pt 0.000 2.099 6.649
Pt 2.099 0.000 3.726
Pt 2.099 0.000 6.649
Pt 2.099 2.099 0.000
! **DFT formation energy**: -0.465 eV per atom
! **Size of the total moment**: 0.23 μB/cell